No. 1
NbCo3H: relaxed, PBE-GGA.

Cell: 5.2572 5.2572 5.1564 Å, 119.33 119.33 92.14°
Positions (direct):
Nb  0.2316  0.7684  0.0000
Nb  0.7684  0.2316  0.0000
Co  0.2482  0.7518  0.5000
Co  0.2499  0.2499  0.5043
Co  0.2499  0.2499  0.9955
Co  0.7501  0.7501  0.0045
Co  0.7501  0.7501  0.4957
Co  0.7518  0.2482  0.5000
H  0.5000  0.5000  0.0000
H  0.5000  0.5000  0.5000

Properties
- energy above the lowest structure with this stoichiometry (meV/atom) = 29
- DOS(E_F) (states/eV per cell) = 3.5

No. 2
Nb2CoH4: relaxed, PBE-GGA.

Cell: 3.0831 3.0831 11.7619 Å, 90.00 90.00 90.00°
Positions (direct):
Nb  0.0000  0.0000  0.1534
Nb  0.0000  0.0000  0.8466
Nb  0.5000  0.5000  0.3466
Nb  0.5000  0.5000  0.6534
Co  0.0000  0.0000  0.5000
Co  0.5000  0.5000  0.0000
H  0.0000  0.0000  0.3350
H  0.0000  0.0000  0.6650
H  0.0000  0.5000  0.0000
H  0.0000  0.5000  0.5000
H  0.5000  0.0000  0.0000
H  0.5000  0.0000  0.5000
H  0.5000  0.5000  0.1650
H  0.5000  0.5000  0.8350

Properties
- energy above the lowest structure with this stoichiometry (meV/atom) = 0
- DOS(E_F) (states/eV per cell) = 6.2

No. 3
NbCo6H3: relaxed, PBE-GGA.

Cell: 5.1499 5.1499 5.1499 Å, 59.37 59.37 59.37°
Positions (direct):
Nb  0.0000  0.0000  0.0000
Co  0.0029  0.5152  0.4853
Co  0.0674  0.5047  0.9315
Co  0.4853  0.0029  0.5152
Co  0.5047  0.9315  0.0674
Co  0.5152  0.4853  0.0029
Co  0.9315  0.0674  0.5047
H  0.2409  0.2409  0.2409
H  0.4075  0.4075  0.4075
H  0.7451  0.7451  0.7451

Properties
- VASP energy (eV per atom) = -6.09
- DOS(E_F) (states/eV per cell) = 9.3

No. 4
NbCo3H: relaxed, PBE-GGA.

Cell: 4.1425 4.1425 7.3757 Å, 90.00 90.00 120.00°
Positions (direct):
Nb  0.3333  0.6667  0.2500
Nb  0.6667  0.3333  0.7500
Co  0.0000  0.0000  0.2500
Co  0.0000  0.0000  0.7500
Co  0.3333  0.6667  0.5826
Co  0.3333  0.6667  0.9174
Co  0.6667  0.3333  0.0826
Co  0.6667  0.3333  0.4174
H  0.0000  0.0000  0.0000
H  0.0000  0.0000  0.5000

Properties
- energy above the lowest structure with this stoichiometry (meV/atom) = 544
- DOS(E_F) (states/eV per cell) = 11.8